(1)
DFT (GGA-PBE) results for a geometry-optimized GdGeRu structure.

* D(E_F): 0.802 states/eV/atom
* total magnetic moment: 7.17 μB per formula unit
* uncorrected energy: -10.023 eV/atom
* DFT formation energy: -0.70 eV per atom
* crystal system: orthorhombic

Cell lengths 4.4859, 7.1474, 7.2060 Å; angles 90.00, 90.00, 90.00 degrees
Each line ends with the local moment (μB).
Element x y z (fractional)
Gd  0.2500  0.5188  0.6900  -7.03
Gd  0.7500  0.4812  0.3100  -7.03
Gd  0.2500  0.0188  0.8100  -7.03
Gd  0.7500  0.9812  0.1900  -7.03
Ge  0.2500  0.6994  0.1069  0.00
Ge  0.7500  0.3006  0.8931  0.00
Ge  0.2500  0.1994  0.3931  0.00
Ge  0.7500  0.8006  0.6069  0.00
Ru  0.7500  0.1528  0.5644  0.01
Ru  0.2500  0.8472  0.4356  0.01
Ru  0.7500  0.6528  0.9356  0.01
Ru  0.2500  0.3472  0.0644  0.01

(2)
DFT (GGA-PBE) results for a geometry-optimized LiNiI structure.

* D(E_F): 0.000 states/eV/atom
* total magnetic moment: 0.00 μB per formula unit
* uncorrected energy: -3.271 eV/atom
* crystal system: monoclinic

Cell lengths 6.1368, 4.3659, 4.4029 Å; angles 90.00, 93.74, 90.00 degrees
Element x y z (fractional)
I  0.7430  0.6035  0.6909
I  0.2570  0.1035  0.3091
Ni  0.5347  0.6932  0.1479
Ni  0.4653  0.1932  0.8521
Li  0.2153  0.6516  0.7567
Li  0.7847  0.1516  0.2433

(3)
DFT (GGA-PBE) results for a geometry-optimized ZnNiAu2 structure.

* D(E_F): 0.321 states/eV/atom
* total magnetic moment: 0.00 μB per formula unit
* uncorrected energy: -3.498 eV/atom
* DFT formation energy: -0.10 eV per atom
* crystal system: orthorhombic

Cell lengths 4.8578, 4.8578, 4.8578 Å; angles 132.56, 132.17, 69.65 degrees
Element x y z (fractional)
Ni  0.4986  0.4986  0.0000
Zn  0.2509  0.7509  0.5000
Au  0.0008  0.0008  0.0000
Au  0.7498  0.2498  0.5000

(4)
DFT (GGA-PBE) results for a geometry-optimized Cd3BiBr structure.

* D(E_F): 0.320 states/eV/atom
* total magnetic moment: 0.00 μB per formula unit
* uncorrected energy: -1.737 eV/atom
* crystal system: trigonal

Cell lengths 8.4526, 8.4526, 8.4526 Å; angles 54.90, 54.90, 54.90 degrees
Element x y z (fractional)
Cd  0.1223  0.7446  0.3658
Cd  0.3658  0.1223  0.7446
Cd  0.7446  0.3658  0.1223
Cd  0.6223  0.8658  0.2446
Cd  0.8658  0.2446  0.6223
Cd  0.2446  0.6223  0.8658
Bi  0.9941  0.9941  0.9941
Bi  0.4941  0.4941  0.4941
Br  0.7447  0.7447  0.7447
Br  0.2447  0.2447  0.2447

(5)
DFT (GGA-PBE) results for a geometry-optimized LaTmTh2 structure.

* D(E_F): 2.147 states/eV/atom
* total magnetic moment: 0.00 μB per formula unit
* uncorrected energy: -5.854 eV/atom
* DFT formation energy: 0.21 eV per atom
* crystal system: cubic

Cell lengths 5.7053, 5.7053, 5.7053 Å; angles 60.00, 60.00, 60.00 degrees
Element x y z (fractional)
Tm  0.0000  0.0000  0.0000
Th  0.2500  0.2500  0.2500
Th  0.7500  0.7500  0.7500
La  0.5000  0.5000  0.5000

(6)
DFT (GGA-PBE) results for a geometry-optimized Mg3Cd2Hg7 structure.

* D(E_F): 0.328 states/eV/atom
* total magnetic moment: 0.00 μB per formula unit
* uncorrected energy: -0.798 eV/atom
* DFT formation energy: -0.07 eV per atom
* crystal system: monoclinic

Cell lengths 3.3446, 6.0641, 14.4331 Å; angles 104.87, 90.00, 90.00 degrees
Element x y z (fractional)
Mg  0.5000  0.5000  0.0000
Mg  0.0000  0.8934  0.3450
Mg  0.0000  0.1066  0.6550
Cd  0.5000  0.3810  0.3210
Cd  0.5000  0.6190  0.6790
Hg  0.5000  0.2453  0.5011
Hg  0.5000  0.7547  0.4989
Hg  0.0000  0.4523  0.1594
Hg  0.0000  0.0000  0.0000
Hg  0.0000  0.5477  0.8406
Hg  0.5000  0.0751  0.8232
Hg  0.5000  0.9249  0.1768

(7)
DFT (GGA-PBE) results for a geometry-optimized LiCaRuC structure.

* D(E_F): 0.451 states/eV/atom
* total magnetic moment: 0.00 μB per formula unit
* uncorrected energy: -5.490 eV/atom
* DFT formation energy: 0.11 eV per atom
* crystal system: tetragonal

Cell lengths 3.7968, 3.7968, 10.8537 Å; angles 90.00, 90.00, 90.00 degrees
Element x y z (fractional)
Li  0.2500  0.7500  0.5000
Li  0.7500  0.2500  0.5000
Ca  0.7500  0.7500  0.2215
Ca  0.2500  0.2500  0.7785
Ru  0.7500  0.2500  0.0000
Ru  0.2500  0.7500  0.0000
C  0.7500  0.7500  0.9210
C  0.2500  0.2500  0.0790

(8)
DFT (GGA-PBE) results for a geometry-optimized BaGdPt structure.

* D(E_F): 1.501 states/eV/atom
* total magnetic moment: 7.35 μB per formula unit
* uncorrected energy: -7.991 eV/atom
* DFT formation energy: -0.64 eV per atom
* crystal system: trigonal

Cell lengths 6.9661, 4.3471, 4.3471 Å; angles 120.00, 90.00, 90.00 degrees
Each line ends with the local moment (μB).
Element x y z (fractional)
Gd  0.2164  0.3333  0.6667  7.04
Ba  0.7502  0.6667  0.3333  0.02
Pt  0.0334  0.0000  0.0000  0.00

(9)
DFT (GGA-PBE) results for a geometry-optimized ZrPbAu structure.

* D(E_F): 0.918 states/eV/atom
* total magnetic moment: 0.00 μB per formula unit
* uncorrected energy: -5.260 eV/atom
* DFT formation energy: -0.08 eV per atom
* crystal system: trigonal

Cell lengths 3.3554, 3.3554, 7.2749 Å; angles 90.00, 90.00, 120.00 degrees
Element x y z (fractional)
Au  0.0000  0.0000  0.9803
Pb  0.6667  0.3333  0.3312
Zr  0.3333  0.6667  0.6885

(10)
DFT (GGA-PBE) results for a geometry-optimized Pr4Nd2Y2Tm structure.

* D(E_F): 1.664 states/eV/atom
* total magnetic moment: 0.00 μB per formula unit
* uncorrected energy: -5.096 eV/atom
* DFT formation energy: 0.02 eV per atom
* crystal system: monoclinic

Cell lengths 5.1781, 8.1921, 8.1341 Å; angles 107.65, 90.00, 108.42 degrees
Element x y z (fractional)
Pr  0.7782  0.5564  0.6685
Pr  0.2218  0.4436  0.3315
Pr  0.5548  0.1096  0.3307
Pr  0.4452  0.8904  0.6693
Nd  0.8889  0.7777  0.3302
Nd  0.1111  0.2223  0.6698
Y  0.3339  0.6679  0.9998
Y  0.6661  0.3321  0.0002
Tm  0.0000  0.0000  0.0000

(11)
DFT (GGA-PBE) results for a geometry-optimized Sm6HgPt2 structure.

* D(E_F): 1.000 states/eV/atom
* total magnetic moment: 0.00 μB per formula unit
* uncorrected energy: -5.185 eV/atom
* DFT formation energy: -0.66 eV per atom
* crystal system: orthorhombic

Cell lengths 8.7216, 8.7216, 8.7216 Å; angles 104.92, 110.01, 113.59 degrees
Element x y z (fractional)
Sm  0.5310  0.7110  0.8200
Sm  0.4690  0.2890  0.1800
Sm  0.1090  0.2890  0.8200
Sm  0.8910  0.7110  0.1800
Sm  0.8033  0.7631  0.5664
Sm  0.1967  0.2369  0.4336
Sm  0.1967  0.7631  0.9598
Sm  0.8033  0.2369  0.0402
Sm  0.6968  0.3666  0.6698
Sm  0.3032  0.6334  0.3302
Sm  0.3032  0.9729  0.6698
Sm  0.6968  0.0271  0.3302
Hg  0.0000  0.5000  0.5000
Hg  0.0000  0.0000  0.0000
Pt  0.5000  0.3669  0.8669
Pt  0.5000  0.6331  0.1331
Pt  0.6576  0.0000  0.6576
Pt  0.3424  0.0000  0.3424

(12)
DFT (GGA-PBE) results for a geometry-optimized CdHg2Ru structure.

* D(E_F): 0.592 states/eV/atom
* total magnetic moment: 0.00 μB per formula unit
* uncorrected energy: -2.382 eV/atom
* DFT formation energy: 0.32 eV per atom
* crystal system: monoclinic

Cell lengths 6.9906, 6.9906, 4.6860 Å; angles 70.49, 70.49, 24.36 degrees
Element x y z (fractional)
Cd  0.8157  0.8157  0.6858
Hg  0.9958  0.9958  0.0043
Hg  0.1880  0.1880  0.3103
Ru  0.5005  0.5005  0.4996

(13)
DFT (GGA-PBE) results for a geometry-optimized YTmSc4 structure.

* D(E_F): 2.373 states/eV/atom
* total magnetic moment: 5.33 μB per formula unit
* uncorrected energy: -5.828 eV/atom
* DFT formation energy: 0.22 eV per atom
* crystal system: cubic

Cell lengths 6.2368, 6.2368, 6.2368 Å; angles 60.00, 60.00, 60.00 degrees
Each line ends with the local moment (μB).
Element x y z (fractional)
Y  0.2500  0.2500  0.2500  0.46
Sc  0.6250  0.6250  0.1250  0.46
Sc  0.6250  0.1250  0.6250  0.46
Sc  0.6250  0.6250  0.6250  0.46
Sc  0.1250  0.6250  0.6250  0.46
Tm  0.0000  0.0000  0.0000  0.59